1.
Density functional theory data (PBE) for MnHPd3 after structural relaxation.

Lattice parameters (Å, degrees): 3.9832 3.9832 3.9832 90.00 90.00 90.00
Space group Pm-3m (No. 221)
One atom of each set of equivalent atoms:
Mn 0.0000 0.0000 0.0000 x1
H 0.5000 0.5000 0.5000 x1
Pd 0.0000 0.5000 0.5000 x3

Results
Offset from the most stable computed form = 0 meV/atom
Density = 9.859 g/cm3



2.
Density functional theory data (PBE) for Dy2Al2Fe15 after structural relaxation.

Lattice parameters (Å, degrees): 8.3628 8.3628 8.3882 90.00 90.00 120.00
Space group P6_3/mmc (No. 194)
One atom of each set of equivalent atoms:
Dy 0.0000 0.0000 0.2500 x2
Dy 0.3333 0.6667 0.2500 x2
Al 0.3333 0.6667 0.6004 x4
Fe 0.0000 0.5000 0.0000 x6
Fe 0.0346 0.3653 0.7500 x12
Fe 0.1654 0.3309 0.0119 x12

Results
Offset from the most stable computed form = 6 meV/atom
Density = 7.953 g/cm3